First-principles (PBE-GGA) data for a relaxed structure of CdSb2Pt, as listed in the Alexandria database.

Calculated values
formation energy without anion corrections: -0.233 eV per atom
space-group type: No. 65
density: 8.59 g cm⁻³

Cell lengths 5.4202, 5.4202, 4.2066 Å; angles 90.00, 90.00, 120.41 degrees
Last column: nearest neighbours and their distance in Å.
Element x y z (fractional)
1 Cd 0.0000 0.0000 0.0000  2 Pt 2.69
2 Sb 0.3243 0.6757 0.5000  2 Pt 2.68
3 Sb 0.6757 0.3243 0.5000  2 Pt 2.68
4 Pt 0.5000 0.5000 0.0000  4 Sb 2.68, 2 Cd 2.69